Density functional theory data (PBE with a Hubbard U) for a relaxed InMoF2 crystal.

Unit cell a=6.223 b=6.223 c=6.223 alpha=90.00 beta=90.00 gamma=90.00
Space group Fm-3m (No. 225)
Unique sites:
In (0.000, 0.000, 0.000)
Mo (0.000, 0.000, 0.500)
F (0.250, 0.250, 0.250)

Properties
V in Å³/cell: 241.0
Magnetization in μB/atom: 0.48
Energy relative to the lowest polymorph listed for this composition in eV/f.u.: 3.409
DOS at the Fermi energy in states/eV per atom: 2.191